# Sc2AlSi (GGA-PBE, optimized geometry)
# - crystal system = tetragonal
# - E_form (uncorrected) (meV/atom) = -466
# - volume (Å³ per atom) = 18.93
# - energy (eV per atom) = -5.923
data_Sc2AlSi
_chemical_formula_sum 'Sc4 Al2 Si2'
_cell_length_a 3.9761
_cell_length_b 3.9761
_cell_length_c 9.5781
_cell_angle_alpha 90.00
_cell_angle_beta 90.00
_cell_angle_gamma 90.00
_symmetry_space_group_name_H-M 'P 1'
_symmetry_Int_Tables_number 1
_symmetry_space_group_name_Hall 'P 1'
loop_
_atom_site_label
_atom_site_fract_x
_atom_site_fract_y
_atom_site_fract_z
Sc1 0.0000 0.0000 0.0000
Sc2 0.0000 0.5000 0.2500
Sc3 0.5000 0.0000 0.7500
Sc4 0.5000 0.5000 0.5000
Al1 0.0000 0.0000 0.5000
Al2 0.5000 0.5000 0.0000
Si1 0.0000 0.5000 0.7500
Si2 0.5000 0.0000 0.2500

---

# Sc2AlSi (GGA-PBE, optimized geometry)
# - crystal system = orthorhombic
# - E_form (uncorrected) (meV/atom) = -210
# - volume (Å³ per atom) = 19.74
# - energy (eV per atom) = -5.668
data_Sc2AlSi
_chemical_formula_sum 'Sc2 Al1 Si1'
_cell_length_a 3.5257
_cell_length_b 3.9260
_cell_length_c 5.7057
_cell_angle_alpha 90.00
_cell_angle_beta 90.00
_cell_angle_gamma 90.00
_symmetry_space_group_name_H-M 'P 1'
_symmetry_Int_Tables_number 1
_symmetry_space_group_name_Hall 'P 1'
loop_
_atom_site_label
_atom_site_fract_x
_atom_site_fract_y
_atom_site_fract_z
Sc1 0.0000 0.0000 0.0000
Sc2 0.5000 0.5000 0.2894
Al1 0.5000 0.5000 0.7769
Si1 0.0000 0.0000 0.5018

---

# ScAlSi2 (GGA-PBE, optimized geometry)
# - crystal system = tetragonal
# - E_form (uncorrected) (meV/atom) = 26
# - volume (Å³ per atom) = 16.72
# - energy (eV per atom) = -5.204
data_ScAlSi2
_chemical_formula_sum 'Sc1 Al1 Si2'
_cell_length_a 2.9267
_cell_length_b 2.9267
_cell_length_c 7.8070
_cell_angle_alpha 90.00
_cell_angle_beta 90.00
_cell_angle_gamma 90.00
_symmetry_space_group_name_H-M 'P 1'
_symmetry_Int_Tables_number 1
_symmetry_space_group_name_Hall 'P 1'
loop_
_atom_site_label
_atom_site_fract_x
_atom_site_fract_y
_atom_site_fract_z
Sc1 0.0000 0.0000 0.0000
Al1 0.5000 0.5000 0.7171
Si1 0.0000 0.0000 0.4806
Si2 0.5000 0.5000 0.2462

---

# ScAlSi2 (GGA-PBE, optimized geometry)
# - crystal system = tetragonal
# - E_form (uncorrected) (meV/atom) = -310
# - volume (Å³ per atom) = 15.86
# - energy (eV per atom) = -5.541
data_ScAlSi2
_chemical_formula_sum 'Sc2 Al2 Si4'
_cell_length_a 3.8996
_cell_length_b 3.8996
_cell_length_c 8.3424
_cell_angle_alpha 90.00
_cell_angle_beta 90.00
_cell_angle_gamma 90.00
_symmetry_space_group_name_H-M 'P 1'
_symmetry_Int_Tables_number 1
_symmetry_space_group_name_Hall 'P 1'
loop_
_atom_site_label
_atom_site_fract_x
_atom_site_fract_y
_atom_site_fract_z
Sc1 0.0000 0.0000 0.0000
Sc2 0.5000 0.5000 0.5000
Al1 0.0000 0.0000 0.5000
Al2 0.5000 0.5000 0.0000
Si1 0.0000 0.5000 0.2500
Si2 0.0000 0.5000 0.7500
Si3 0.5000 0.0000 0.2500
Si4 0.5000 0.0000 0.7500

---

# Sc2AlSi (GGA-PBE, optimized geometry)
# - crystal system = tetragonal
# - E_form (uncorrected) (meV/atom) = -489
# - volume (Å³ per atom) = 18.28
# - energy (eV per atom) = -5.946
data_Sc2AlSi
_chemical_formula_sum 'Sc2 Al1 Si1'
_cell_length_a 4.2756
_cell_length_b 4.2756
_cell_length_c 3.9995
_cell_angle_alpha 90.00
_cell_angle_beta 90.00
_cell_angle_gamma 90.00
_symmetry_space_group_name_H-M 'P 1'
_symmetry_Int_Tables_number 1
_symmetry_space_group_name_Hall 'P 1'
loop_
_atom_site_label
_atom_site_fract_x
_atom_site_fract_y
_atom_site_fract_z
Sc1 0.0000 0.5000 0.0000
Sc2 0.5000 0.0000 0.0000
Al1 0.0000 0.0000 0.5000
Si1 0.5000 0.5000 0.5000

---

# ScAl4Si (GGA-PBE, optimized geometry)
# - crystal system = cubic
# - E_form (uncorrected) (meV/atom) = -57
# - volume (Å³ per atom) = 17.55
# - energy (eV per atom) = -4.511
data_ScAl4Si
_chemical_formula_sum 'Sc1 Al4 Si1'
_cell_length_a 5.3002
_cell_length_b 5.3002
_cell_length_c 5.3002
_cell_angle_alpha 60.00
_cell_angle_beta 60.00
_cell_angle_gamma 60.00
_symmetry_space_group_name_H-M 'P 1'
_symmetry_Int_Tables_number 1
_symmetry_space_group_name_Hall 'P 1'
loop_
_atom_site_label
_atom_site_fract_x
_atom_site_fract_y
_atom_site_fract_z
Sc1 0.0000 0.0000 0.0000
Al1 0.3752 0.3752 0.3752
Al2 0.3752 0.3752 0.8744
Al3 0.3752 0.8744 0.3752
Al4 0.8744 0.3752 0.3752
Si1 0.7500 0.7500 0.7500